(1)
CeSmErTl: optimized geometry, PBE.

Cell and atoms, written as POSCAR:
```
CeSmErTl
1.0
0.0000 3.8397 3.8397
3.8397 0.0000 3.8397
3.8397 3.8397 0.0000
Ce Sm Er Tl
1 1 1 1
Cartesian
0.0000 0.0000 0.0000
1.9199 1.9199 1.9199
5.7596 5.7596 5.7596
3.8397 3.8397 3.8397
```

Space-group type: F-43m
Theoretical density in g cm⁻³: 9.7
Formation energy from the elements in eV/atom: 0.020
N(E_F) in states/eV/f.u.: 6.61
Raw total energy in eV per atom: -4.38

(2)
CdGa4Sn2: optimized geometry, PBE.

Cell and atoms, written as POSCAR:
```
CdGa4Sn2
1.0
8.9763 -3.1005 0.0000
8.9763 3.1005 0.0000
-2.1065 0.0000 5.8052
Cd Ga Sn
2 8 4
Cartesian
7.3964 1.5565 4.3539
8.4497 -1.5565 1.4513
2.1903 0.2941 1.4517
1.1371 -0.2941 4.3543
7.4043 1.3912 0.7207
9.4950 1.3912 2.1819
6.3511 -1.3912 3.6233
8.4417 -1.3912 5.0845
14.7090 0.2941 1.4510
13.6558 -0.2941 4.3536
4.9041 0.6432 2.2519
3.8508 -0.6432 5.1545
11.9952 0.6432 0.6507
10.9420 -0.6432 3.5533
```

Space-group type: C2/c
Theoretical density in g cm⁻³: 6.5
Formation energy from the elements in eV/atom: 0.057
N(E_F) in states/eV/f.u.: 2.07
Raw total energy in eV per atom: -2.95

(3)
ScSi2HgS: optimized geometry, PBE.

Cell and atoms, written as POSCAR:
```
ScSi2HgS
1.0
5.1694 0.0000 0.0000
0.0000 5.1694 0.0000
0.0000 0.0000 5.3948
Sc Si Hg S
1 2 1 1
Cartesian
0.0000 0.0000 0.0000
0.0000 2.5847 0.0000
2.5847 0.0000 0.0000
0.0000 0.0000 2.6974
2.5847 2.5847 2.6974
```

Space-group type: P4/mmm
Theoretical density in g cm⁻³: 3.8
Polymorph energy (0 for the lowest one) in eV per atom: 0.804
ΔE_f (raw) in eV per atom: 1.006
N(E_F) in states/eV/f.u.: 4.71
Raw total energy in eV per atom: -3.32

(4)
InI3Cl: optimized geometry, PBE.

Cell and atoms, written as POSCAR:
```
InI3Cl
1.0
5.8871 0.0000 0.0000
0.0000 5.8871 0.0000
0.0000 0.0000 5.8871
In I Cl
1 3 1
Cartesian
0.0000 0.0000 0.0000
0.0000 0.0000 2.9436
0.0000 2.9436 0.0000
2.9436 0.0000 0.0000
2.9436 2.9436 2.9436
```

Space-group type: Pm-3m
Theoretical density in g cm⁻³: 4.3
Polymorph energy (0 for the lowest one) in eV per atom: 0.444
ΔE_f (raw) in eV per atom: 0.022
N(E_F) in states/eV/f.u.: 12.10
Raw total energy in eV per atom: -1.83

(5)
Ru5Pt: optimized geometry, PBE.

Cell and atoms, written as POSCAR:
```
Ru5Pt
1.0
0.0000 3.5598 3.5598
3.5598 0.0000 3.5598
3.5598 3.5598 0.0000
Ru Pt
5 1
Cartesian
0.0000 0.0000 0.0000
2.6707 2.6707 2.6707
4.4490 4.4490 2.6707
4.4490 2.6707 4.4490
2.6707 4.4490 4.4490
5.3398 5.3398 5.3398
```

Space-group type: F-43m
Theoretical density in g cm⁻³: 12.9
Polymorph energy (0 for the lowest one) in eV per atom: 0.570
Formation energy from the elements in eV/atom: 0.576
N(E_F) in states/eV/f.u.: 9.76
Raw total energy in eV per atom: -8.16

(6)
InHgPb2: optimized geometry, PBE.

Cell and atoms, written as POSCAR:
```
InHgPb2
1.0
-1.8578 2.8023 5.5225
1.8578 -2.8023 5.5225
1.8578 2.8023 -5.5225
In Hg Pb
1 1 2
Cartesian
0.0000 0.0000 0.0000
0.0000 2.8023 3.0149
1.8578 0.0000 2.8403
0.0000 0.0000 5.8114
```

Space-group type: Imm2
Theoretical density in g cm⁻³: 10.5
Polymorph energy (0 for the lowest one) in eV per atom: 0.022
Formation energy from the elements in eV/atom: 0.027
N(E_F) in states/eV/f.u.: 1.79
Raw total energy in eV per atom: -2.59

(7)
GaPN2O: optimized geometry, PBE.

Cell and atoms, written as POSCAR:
```
GaPN2O
1.0
3.9544 0.0000 0.0000
0.0000 3.9544 0.0000
0.0000 0.0000 3.7588
Ga P N O
1 1 2 1
Cartesian
0.0000 0.0000 0.0000
1.9772 1.9772 1.8794
0.0000 1.9772 0.0000
1.9772 0.0000 0.0000
0.0000 0.0000 1.8794
```

Space-group type: P4/mmm
Theoretical density in g cm⁻³: 4.1
ΔE_f (raw) in eV per atom: 1.253
N(E_F) in states/eV/f.u.: 2.20
Raw total energy in eV per atom: -4.76

(8)
SiPOs2: optimized geometry, PBE.

Cell and atoms, written as POSCAR:
```
SiPOs2
1.0
-2.6575 2.6575 5.2818
2.6575 -2.6575 5.2818
2.6575 2.6575 -5.2818
Si P Os
2 2 4
Cartesian
0.0000 0.0000 0.0000
0.0000 2.6575 2.6409
2.6575 0.0000 2.6409
0.0000 0.0000 5.2818
1.3288 -1.2602 3.9613
1.3973 1.3288 1.3204
1.3288 3.9178 -1.3204
1.2602 1.3288 6.6022
```

Space-group type: I-42d
Theoretical density in g cm⁻³: 9.8
Polymorph energy (0 for the lowest one) in eV per atom: 0.463
ΔE_f (raw) in eV per atom: 0.298
N(E_F) in states/eV/f.u.: 4.16
Raw total energy in eV per atom: -8.02